The following is a PBE-GGA calculation of a relaxed structure of Sm2BeGa, from Alexandria via LeMat-Bulk.

The structure in CIF format:
```
data_Sm2BeGa
_chemical_formula_sum 'Sm2 Be1 Ga1'
_symmetry_space_group_name_H-M 'P 4/m m m'
_symmetry_Int_Tables_number 123
_symmetry_space_group_name_Hall '-P 4 2'
_cell_length_a 3.5509
_cell_length_b 3.5509
_cell_length_c 7.2191
_cell_angle_alpha 90.00
_cell_angle_beta 90.00
_cell_angle_gamma 90.00
loop_
_atom_site_label
_atom_site_type_symbol
_atom_site_fract_x
_atom_site_fract_y
_atom_site_fract_z
Sm1 Sm 0.0000 0.0000 0.2331
Be1 Be 0.5000 0.5000 0.0000
Ga1 Ga 0.5000 0.5000 0.5000
```

Output
ΔE_f	-0.2000	eV/atom
total magnetic moment	0.0000	μB/atom
VASP energy	-16.99	eV per cell

The following is a PBE-GGA calculation of a relaxed structure of Sm2BeGa3, from Alexandria via LeMat-Bulk.

The structure in CIF format:
```
data_Sm2BeGa3
_chemical_formula_sum 'Sm16 Be8 Ga24'
_symmetry_space_group_name_H-M 'F m m m'
_symmetry_Int_Tables_number 69
_symmetry_space_group_name_Hall '-F 2 2'
_cell_length_a 8.3501
_cell_length_b 8.3568
_cell_length_c 14.4118
_cell_angle_alpha 90.00
_cell_angle_beta 90.00
_cell_angle_gamma 90.00
loop_
_atom_site_label
_atom_site_type_symbol
_atom_site_fract_x
_atom_site_fract_y
_atom_site_fract_z
Sm1 Sm 0.0000 0.2453 0.0000
Sm2 Sm 0.2500 0.2500 0.2500
Be1 Be 0.0000 0.0000 0.3333
Ga1 Ga 0.0000 0.0000 0.1737
Ga2 Ga 0.2382 0.0000 0.4129
```

Output
ΔE_f	-0.5399	eV/atom
total magnetic moment	0.0000	μB/atom
VASP energy	-203.88	eV per cell

The following is a PBE-GGA calculation of a relaxed structure of TbSmBeGa, from Alexandria via LeMat-Bulk.

The structure in CIF format:
```
data_TbSmBeGa
_chemical_formula_sum 'Tb4 Sm4 Be4 Ga4'
_symmetry_space_group_name_H-M 'F -4 3 m'
_symmetry_Int_Tables_number 216
_symmetry_space_group_name_Hall 'F -4 2 3'
_cell_length_a 7.0941
_cell_length_b 7.0941
_cell_length_c 7.0941
_cell_angle_alpha 90.00
_cell_angle_beta 90.00
_cell_angle_gamma 90.00
loop_
_atom_site_label
_atom_site_type_symbol
_atom_site_fract_x
_atom_site_fract_y
_atom_site_fract_z
Tb1 Tb 0.0000 0.0000 0.0000
Sm1 Sm 0.0000 0.0000 0.5000
Be1 Be 0.2500 0.2500 0.2500
Ga1 Ga 0.2500 0.2500 0.7500
```

Output
ΔE_f	-0.2073	eV/atom
total magnetic moment	0.0000	μB/atom
VASP energy	-67.73	eV per cell

The following is a PBE-GGA calculation of a relaxed structure of BeGa3Sn, from Alexandria via LeMat-Bulk.

The structure in CIF format:
```
data_BeGa3Sn
_chemical_formula_sum 'Be1 Ga3 Sn1'
_symmetry_space_group_name_H-M 'P m -3 m'
_symmetry_Int_Tables_number 221
_symmetry_space_group_name_Hall '-P 4 2 3'
_cell_length_a 4.6165
_cell_length_b 4.6165
_cell_length_c 4.6165
_cell_angle_alpha 90.00
_cell_angle_beta 90.00
_cell_angle_gamma 90.00
loop_
_atom_site_label
_atom_site_type_symbol
_atom_site_fract_x
_atom_site_fract_y
_atom_site_fract_z
Be1 Be 0.0000 0.0000 0.0000
Ga1 Ga 0.0000 0.0000 0.5000
Sn1 Sn 0.5000 0.5000 0.5000
```

Output
ΔE_f	0.2438	eV/atom
total magnetic moment	0.0000	μB/atom
VASP energy	-15.59	eV per cell

The following is a PBE-GGA calculation of a relaxed structure of BeGaSn, from Alexandria via LeMat-Bulk.

The structure in CIF format:
```
data_BeGaSn
_chemical_formula_sum 'Be4 Ga4 Sn4'
_symmetry_space_group_name_H-M 'F -4 3 m'
_symmetry_Int_Tables_number 216
_symmetry_space_group_name_Hall 'F -4 2 3'
_cell_length_a 6.0613
_cell_length_b 6.0613
_cell_length_c 6.0613
_cell_angle_alpha 90.00
_cell_angle_beta 90.00
_cell_angle_gamma 90.00
loop_
_atom_site_label
_atom_site_type_symbol
_atom_site_fract_x
_atom_site_fract_y
_atom_site_fract_z
Be1 Be 0.0000 0.0000 0.0000
Ga1 Ga 0.2500 0.2500 0.2500
Sn1 Sn 0.2500 0.2500 0.7500
```

Output
ΔE_f	0.1983	eV/atom
total magnetic moment	0.0000	μB/atom
VASP energy	-40.64	eV per cell

The following is a PBE-GGA calculation of a relaxed structure of Be2GaSn, from Alexandria via LeMat-Bulk.

The structure in CIF format:
```
data_Be2GaSn
_chemical_formula_sum 'Be8 Ga4 Sn4'
_symmetry_space_group_name_H-M 'F m -3 m'
_symmetry_Int_Tables_number 225
_symmetry_space_group_name_Hall '-F 4 2 3'
_cell_length_a 6.3300
_cell_length_b 6.3300
_cell_length_c 6.3300
_cell_angle_alpha 90.00
_cell_angle_beta 90.00
_cell_angle_gamma 90.00
loop_
_atom_site_label
_atom_site_type_symbol
_atom_site_fract_x
_atom_site_fract_y
_atom_site_fract_z
Be1 Be 0.2500 0.2500 0.2500
Ga1 Ga 0.0000 0.0000 0.0000
Sn1 Sn 0.0000 0.0000 0.5000
```

Output
ΔE_f	0.5713	eV/atom
total magnetic moment	0.0000	μB/atom
VASP energy	-48.79	eV per cell